La2Mg2Sb2N, relaxed, DFT GGA-PBE; volume = 24.32 A^3/atom; total magnetization = 0.0 μB/f.u.; ΔE_f (raw) = -1.01 eV/atom
1.0
-4.262 1.538 -0.725
-1.249 -1.507 4.150
4.786 7.123 1.490
La Mg Sb N
2 2 2 1
Cartesian
0.618 2.171 0.974
-1.343 4.983 3.942
-0.625 -0.754 2.075
-2.131 0.769 -0.362
1.494 5.251 2.356
-2.219 1.902 2.560
0.000 0.000 0.000


BaMoAu2, relaxed, DFT GGA-PBE; volume = 23.12 A^3/atom; total magnetization = 1.1 μB/f.u.; formation enthalpy at 0 K = 0.227 eV per atom
1.0
3.456 0.005 0.000
-0.003 3.456 0.000
0.000 0.000 7.742
Au Ba Mo
2 1 1
Cartesian
0.000 0.000 7.250
0.000 0.000 4.362
1.727 1.731 1.935
1.727 1.731 5.806


CaPm3Pr2, relaxed, DFT GGA-PBE; volume = 37.04 A^3/atom; total magnetization = 0.0 μB/f.u.; formation enthalpy at 0 K = 0.190 eV per atom
1.0
-6.561 2.279 -0.049
1.449 -6.360 2.384
1.305 3.966 9.786
Ca Pm Pr
2 6 4
Cartesian
0.002 0.236 10.744
-3.809 -0.351 1.378
-0.300 -0.792 3.381
-2.728 -2.730 4.490
0.388 -3.813 4.513
-3.507 0.676 8.740
-4.195 3.697 7.608
-1.079 2.615 7.631
0.000 0.000 0.000
-3.338 1.078 4.904
0.652 1.983 4.893
-0.468 -1.194 7.217


Fe2CoAu, relaxed, DFT GGA-PBE; volume = 13.49 A^3/atom; total magnetization = 6.7 μB/f.u.; formation enthalpy at 0 K = 0.213 eV per atom
1.0
-1.808 2.097 -8.155
-4.319 2.152 -7.133
-2.723 4.334 -6.927
Au Co Fe
1 1 2
Cartesian
-4.419 4.286 -11.093
-6.560 6.362 -16.467
-0.017 0.016 -0.042
-2.279 2.211 -5.721


AlIrCl2, relaxed, DFT GGA-PBE; volume = 20.61 A^3/atom; total magnetization = 0.0 μB/f.u.; ΔE_f (raw) = 0.35 eV/atom
1.0
3.263 0.087 0.000
-1.757 2.752 0.000
0.000 0.000 9.027
Ir Al Cl
1 1 2
Cartesian
0.753 1.419 2.257
0.753 1.419 6.770
0.000 0.000 0.517
0.000 0.000 3.997


LaPu4Pt5, relaxed, DFT GGA-PBE; volume = 22.19 A^3/atom; total magnetization = 0.2 μB/f.u.; formation enthalpy at 0 K = -0.781 eV per atom
1.0
-3.325 0.123 1.124
0.887 -1.880 2.830
3.593 15.187 8.964
La Pu Pt
1 4 5
Cartesian
0.000 0.000 0.000
2.146 9.070 5.354
2.856 12.072 7.125
0.737 3.116 1.839
1.447 6.117 3.611
-0.833 0.754 2.941
1.287 9.713 8.229
0.577 6.715 6.459
-0.132 3.717 4.689
1.988 12.676 9.977


PuUBiTe, relaxed, DFT GGA-PBE; volume = 27.43 A^3/atom; total magnetization = 8.9 μB/f.u.; ΔE_f (raw) = -0.42 eV/atom
1.0
-3.220 3.924 -1.764
-4.433 -1.210 -2.787
-4.844 0.703 2.219
Te U Bi Pu
1 1 1 1
Cartesian
-6.248 1.709 -1.166
-3.124 0.854 -0.583
0.000 0.000 0.000
-9.372 2.563 -1.749


Li8CdAg4, relaxed, DFT GGA-PBE; volume = 17.33 A^3/atom; total magnetization = 0.0 μB/f.u.; formation enthalpy at 0 K = -0.140 eV per atom
1.0
4.634 0.000 0.000
0.000 2.963 0.000
0.000 0.000 16.410
Li Cd Ag
8 1 4
Cartesian
0.000 0.000 8.097
0.000 1.481 15.070
2.317 1.481 0.772
2.317 0.000 9.497
0.000 1.481 3.013
0.000 0.000 12.746
2.317 0.000 3.942
2.317 1.481 12.148
0.000 0.000 5.454
0.000 0.000 0.856
0.000 1.481 10.447
2.317 1.481 6.848
2.317 0.000 14.545


LuScGa, relaxed, DFT GGA-PBE; volume = 25.33 A^3/atom; total magnetization = 0.0 μB/f.u.; formation enthalpy at 0 K = -0.253 eV per atom
1.0
-3.308 -3.189 -1.222
-0.267 -1.547 -4.488
1.271 -4.458 -1.057
Sc Lu Ga
1 1 1
Cartesian
-1.152 -4.597 -3.384
0.000 0.000 0.000
-0.576 -2.299 -1.692


La7RhCl12, relaxed, DFT GGA-PBE; volume = 35.60 A^3/atom; total magnetization = 0.1 μB/f.u.; ΔE_f (raw) = -2.01 eV/atom
1.0
10.589 0.000 -2.179
-4.409 7.552 -3.544
-1.772 0.000 9.268
La Rh Cl
7 1 12
Cartesian
-2.488 6.045 -2.106
9.474 0.802 0.300
2.768 5.243 3.466
5.294 0.000 -1.090
1.641 2.309 0.078
-5.065 6.751 3.245
6.896 1.507 5.651
0.000 0.000 0.000
-0.379 3.959 -1.177
8.134 0.915 3.102
2.989 6.115 -3.408
3.933 0.688 1.291
0.699 3.044 2.729
-2.749 5.426 4.576
7.158 2.126 -1.031
3.710 4.509 0.815
0.476 6.864 2.253
1.419 1.438 6.953
-3.725 6.637 0.442
4.788 3.594 4.721


AcCuSbH, relaxed, DFT GGA-PBE; volume = 20.36 A^3/atom; electronic total energy = -4.241 eV per atom; total magnetization = 0.0 μB/f.u.
1.0
-3.934 -2.205 1.826
0.269 -2.306 4.276
-2.232 1.851 3.907
Sb Ac Cu H
1 1 1 1
Cartesian
-2.949 -1.330 5.005
0.000 0.000 0.000
-1.474 -0.665 2.502
-4.423 -1.996 7.507


CaThNi, relaxed, DFT GGA-PBE; volume = 29.41 A^3/atom; total magnetization = 0.0 μB/f.u.; formation enthalpy at 0 K = -0.090 eV per atom
1.0
4.024 0.000 0.000
2.012 3.485 0.000
2.012 1.162 12.583
Ni Ca Th
2 2 2
Cartesian
2.012 1.162 9.048
6.036 3.485 3.535
4.024 2.323 1.780
4.024 2.323 10.803
2.012 1.162 4.916
6.036 3.485 7.666


Zr2TaRu, relaxed, DFT GGA-PBE; volume = 18.64 A^3/atom; total magnetization = 0.0 μB/f.u.; formation enthalpy at 0 K = -0.110 eV per atom
1.0
-1.582 -2.898 0.200
1.928 -0.749 4.391
-3.637 2.120 1.958
Ru Ta Zr
1 1 2
Cartesian
-2.609 -0.389 1.079
-0.854 0.685 3.175
0.000 0.000 0.000
0.173 -1.824 2.296


PbBrCl4, relaxed, DFT GGA-PBE; volume = 37.37 A^3/atom; total magnetization = 0.0 μB/f.u.; ΔE_f (raw) = -0.49 eV/atom
1.0
8.305 -2.208 0.314
-0.091 8.374 4.449
-0.928 1.568 7.136
Pb Br Cl
2 2 8
Cartesian
1.978 7.800 4.568
5.309 -0.066 7.331
5.286 4.188 9.430
2.001 3.546 2.470
6.353 2.260 8.540
-0.596 2.357 5.578
4.234 6.159 10.238
3.450 1.326 5.755
3.837 6.408 6.144
3.053 1.575 1.661
7.883 5.377 6.321
0.934 5.474 3.359


TlRhAuS, relaxed, DFT GGA-PBE; volume = 22.78 A^3/atom; total magnetization = 0.5 μB/f.u.; ΔE_f (raw) = -0.13 eV/atom
1.0
3.990 0.000 0.000
0.000 3.990 0.000
0.000 0.000 11.443
Tl Rh Au S
2 2 2 2
Cartesian
2.993 2.993 3.334
0.998 0.998 8.109
2.993 0.998 0.000
0.998 2.993 0.000
0.998 2.993 5.722
2.993 0.998 5.722
2.993 2.993 10.185
0.998 0.998 1.258


Pu2ScCuTe5, relaxed, DFT GGA-PBE; volume = 27.63 A^3/atom; total magnetization = 10.0 μB/f.u.; ΔE_f (raw) = -0.91 eV/atom
1.0
-3.400 -0.190 -2.504
-0.943 -7.759 5.437
-6.608 6.732 8.460
Pu Sc Cu Te
4 2 2 10
Cartesian
-9.061 -0.574 8.777
-5.138 2.850 6.758
-2.701 0.183 3.653
-4.982 -4.915 3.569
-6.722 -1.513 5.673
-1.086 -2.907 1.695
-8.402 5.143 7.448
-5.244 -3.615 7.394
-1.882 -5.508 2.973
-8.334 2.538 7.554
-6.857 5.137 5.351
-5.966 -0.063 8.104
-7.824 -3.536 7.323
-5.808 0.968 4.243
-3.905 -2.443 5.488
-4.485 -5.956 6.542
-3.927 -2.232 1.934
-0.611 -0.245 0.848


Ba2NiHg4, relaxed, DFT GGA-PBE; volume = 32.73 A^3/atom; total magnetization = 0.0 μB/f.u.; formation enthalpy at 0 K = -0.292 eV per atom
1.0
5.127 0.000 0.000
0.000 5.127 0.000
2.564 2.564 8.715
Ni Hg Ba
1 4 2
Cartesian
0.000 0.000 0.000
5.127 5.127 2.617
2.564 2.564 6.097
0.000 2.564 0.000
2.564 0.000 0.000
5.127 5.127 6.164
2.564 2.564 2.550


AgPd3Pb, relaxed, DFT GGA-PBE; volume = 17.56 A^3/atom; total magnetization = 0.0 μB/f.u.; formation enthalpy at 0 K = -0.149 eV per atom
1.0
4.836 -0.089 -0.789
-0.386 5.916 4.958
-0.710 1.390 7.400
Ag Pd Pb
2 6 2
Cartesian
0.554 2.091 7.240
3.187 5.126 4.328
0.963 2.211 2.304
0.733 3.660 4.809
0.323 6.569 9.762
2.777 5.005 9.264
3.008 3.557 6.760
3.417 0.648 1.807
0.622 5.127 7.345
3.119 2.090 4.224


TeHPb, relaxed, DFT GGA-PBE; volume = 31.62 A^3/atom; electronic total energy = -3.633 eV per atom; total magnetization = 0.0 μB/f.u.
1.0
-0.830 2.997 -3.414
1.685 -3.019 -3.061
-32.507 -13.834 -4.247
Pb H Te
8 8 8
Cartesian
-21.444 -8.888 -4.455
-29.825 -11.138 -7.507
-2.507 -1.499 -1.978
-26.126 -13.096 -7.012
-12.399 -7.218 -4.596
-18.572 -7.858 -7.362
-4.527 -2.551 -5.525
-11.206 -3.178 -4.452
-31.870 -14.454 -5.373
-24.703 -9.764 -4.443
-8.403 -1.485 -3.637
-0.457 1.807 -4.122
-15.320 -8.907 -4.525
-22.870 -12.210 -7.036
-7.327 -4.253 -6.329
-15.657 -6.158 -7.423
-18.676 -7.689 -4.088
-27.049 -9.952 -7.164
-13.987 -4.354 -4.796
-5.276 -2.698 -2.335
-1.743 -1.387 -5.166
-28.897 -14.282 -7.393
-9.624 -6.041 -4.214
-21.355 -9.022 -7.731


Er3Ag2Ru, relaxed, DFT GGA-PBE; volume = 21.81 A^3/atom; total magnetization = 0.0 μB/f.u.; formation enthalpy at 0 K = -0.362 eV per atom
1.0
4.955 0.000 0.000
-2.478 4.292 0.000
0.000 0.000 6.154
Er Ag Ru
3 2 1
Cartesian
0.000 0.000 3.077
2.478 1.431 5.245
0.000 2.861 0.909
2.478 1.431 2.102
0.000 2.861 4.052
0.000 0.000 0.000


NaCo3Ni, relaxed, DFT GGA-PBE; volume = 15.41 A^3/atom; total magnetization = 5.7 μB/f.u.; formation enthalpy at 0 K = 2.071 eV per atom
1.0
-3.240 -1.011 2.567
2.045 -3.537 1.188
1.852 2.138 3.179
Ni Co Na
1 3 1
Cartesian
0.328 -1.205 3.467
1.023 -1.769 0.594
0.926 1.069 1.590
-1.620 -0.506 1.283
0.000 0.000 0.000


ZrSiN, relaxed, DFT GGA-PBE; volume = 14.41 A^3/atom; total magnetization = 0.0 μB/f.u.; ΔE_f (raw) = -0.87 eV/atom
1.0
-3.971 -0.077 2.299
-0.897 -2.966 -1.648
2.578 -2.863 3.751
Zr Si N
2 2 2
Cartesian
-2.878 -1.187 1.833
0.587 -4.719 2.570
-0.220 -2.121 2.069
-2.070 -3.785 2.334
-0.858 -1.163 0.693
-1.432 -4.743 3.710


KReCl2, relaxed, DFT GGA-PBE; volume = 26.35 A^3/atom; total magnetization = 0.0 μB/f.u.; ΔE_f (raw) = 0.24 eV/atom
1.0
2.274 0.000 7.843
-1.137 1.969 7.843
-1.137 -1.969 7.843
Re K Cl
1 1 2
Cartesian
0.000 0.000 11.765
0.000 0.000 0.000
0.000 0.000 20.590
0.000 0.000 2.939


NaCa2PaSe4, relaxed, DFT GGA-PBE; volume = 26.01 A^3/atom; total magnetization = 1.8 μB/f.u.; ΔE_f (raw) = -1.60 eV/atom
1.0
4.125 0.000 0.000
0.000 7.312 0.212
0.000 -2.495 6.828
Na Ca Pa Se
1 2 1 4
Cartesian
0.000 0.000 0.000
2.062 -1.248 3.414
0.000 2.408 3.520
2.062 3.656 0.106
2.062 1.282 1.754
2.062 3.534 5.286
0.000 -0.026 5.184
0.000 4.843 1.856